Record 1
Here is a relaxed structure of SmBSb from Alexandria. Energies are from GGA-PBE.

```
data_SmBSb
_chemical_formula_sum 'Sm4 B4 Sb4'
_symmetry_space_group_name_H-M 'C 1 2/m 1'
_symmetry_Int_Tables_number 12
_cell_length_a 10.3001
_cell_length_b 4.0529
_cell_length_c 6.5152
_cell_angle_alpha 90.00
_cell_angle_beta 104.22
_cell_angle_gamma 90.00
loop_
_symmetry_equiv_pos_as_xyz
'x,y,z'
'-x,-y,-z'
'-x,y,-z'
'x,-y,z'
'x+1/2,y+1/2,z'
'-x+1/2,-y+1/2,-z'
'-x+1/2,y+1/2,-z'
'x+1/2,-y+1/2,z'
loop_
_atom_site_label
_atom_site_type_symbol
_atom_site_fract_x
_atom_site_fract_y
_atom_site_fract_z
_atom_site_occupancy
Sm1 Sm 0.1170 0.0000 0.3214 1
B1 B 0.0781 0.5000 0.5740 1
Sb1 Sb 0.1295 0.5000 0.9307 1
```

Values from the calculation:
D(E_F): 7.118 states/eV/cell
Formation energy from raw total energies: -0.267 eV per atom


Record 2
Here is a relaxed structure of Ac3Mg2Tl3 from Alexandria. Energies are from GGA-PBE.

```
data_Ac3Mg2Tl3
_chemical_formula_sum 'Ac6 Mg4 Tl6'
_symmetry_space_group_name_H-M 'I m m m'
_symmetry_Int_Tables_number 71
_symmetry_space_group_name_Hall '-I 2 2'
_cell_length_a 4.6827
_cell_length_b 5.2764
_cell_length_c 20.7647
_cell_angle_alpha 90.00
_cell_angle_beta 90.00
_cell_angle_gamma 90.00
loop_
_atom_site_label
_atom_site_type_symbol
_atom_site_fract_x
_atom_site_fract_y
_atom_site_fract_z
_atom_site_occupancy
Ac1 Ac 0.0000 0.0000 0.0000 1
Ac2 Ac 0.0000 0.5000 0.1319 1
Mg1 Mg 0.0000 0.0000 0.2449 1
Tl1 Tl 0.0000 0.0000 0.5000 1
Tl2 Tl 0.0000 0.5000 0.3498 1
```

Values from the calculation:
ΔH_f (0 K): -0.22 eV per atom
D(E_F): 13.773 states/eV/cell
Energy relative to the lowest polymorph listed for this composition: 93.6 meV/atom


Record 3
Here is a relaxed structure of CsYCl3 from Alexandria. Energies are from GGA-PBE.

```
data_CsYCl3
_chemical_formula_sum 'Cs4 Y4 Cl12'
_symmetry_space_group_name_H-M 'P 1 21/c 1'
_symmetry_Int_Tables_number 14
_cell_length_a 9.7541
_cell_length_b 7.1789
_cell_length_c 11.0352
_cell_angle_alpha 90.00
_cell_angle_beta 124.39
_cell_angle_gamma 90.00
loop_
_symmetry_equiv_pos_as_xyz
'x,y,z'
'-x,-y,-z'
'-x,y+1/2,-z+1/2'
'x,-y+1/2,z+1/2'
loop_
_atom_site_label
_atom_site_type_symbol
_atom_site_fract_x
_atom_site_fract_y
_atom_site_fract_z
_atom_site_occupancy
Cs1 Cs 0.1820 0.2493 0.0909 1
Y1 Y 0.2613 0.6898 0.8801 1
Cl1 Cl 0.0255 0.5255 0.2625 1
Cl2 Cl 0.2665 0.7495 0.1330 1
Cl3 Cl 0.4051 0.2011 0.4523 1
```

Values from the calculation:
D(E_F): 8.014 states/eV/cell
Formation energy from raw total energies: -1.823 eV per atom


Q: Look up the D(E_F) of the third one.
A: 8.014 states/eV/cell


Q: Which of these has the lowest D(E_F)?
A: SmBSb


Copy entry 2 word for word.
Here is a relaxed structure of Ac3Mg2Tl3 from Alexandria. Energies are from GGA-PBE.

```
data_Ac3Mg2Tl3
_chemical_formula_sum 'Ac6 Mg4 Tl6'
_symmetry_space_group_name_H-M 'I m m m'
_symmetry_Int_Tables_number 71
_symmetry_space_group_name_Hall '-I 2 2'
_cell_length_a 4.6827
_cell_length_b 5.2764
_cell_length_c 20.7647
_cell_angle_alpha 90.00
_cell_angle_beta 90.00
_cell_angle_gamma 90.00
loop_
_atom_site_label
_atom_site_type_symbol
_atom_site_fract_x
_atom_site_fract_y
_atom_site_fract_z
_atom_site_occupancy
Ac1 Ac 0.0000 0.0000 0.0000 1
Ac2 Ac 0.0000 0.5000 0.1319 1
Mg1 Mg 0.0000 0.0000 0.2449 1
Tl1 Tl 0.0000 0.0000 0.5000 1
Tl2 Tl 0.0000 0.5000 0.3498 1
```

Values from the calculation:
ΔH_f (0 K): -0.22 eV per atom
D(E_F): 13.773 states/eV/cell
Energy relative to the lowest polymorph listed for this composition: 93.6 meV/atom


Q: Among the records above, which one has the lowest D(E_F)?
A: SmBSb